[1]
# ScSnHg

A relaxed ScSnHg crystal (GGA-PBE, Alexandria).

a b c (Å): 4.7655 4.7655 4.7655
angles (deg): 60.00 60.00 60.00
Closest atoms and distances in Å follow each position.
Element x y z (fractional)
Sc (0.0000, 0.0000, 0.0000)  4 Hg 2.92
Sn (0.5000, 0.5000, 0.5000)  4 Hg 2.92
Hg (0.2500, 0.2500, 0.2500)  4 Sn 2.92, 4 Sc 2.92

Properties
Space group: F-43m
ΔH_f (0 K) (eV per atom): -0.194

=====

[2]
# La6SbPb

A relaxed La6SbPb crystal (GGA-PBE, Alexandria).

a b c (Å): 5.0389 5.0389 10.0711
angles (deg): 90.00 90.00 90.00
Closest atoms and distances in Å follow each position.
Element x y z (fractional)
La (0.0000, 0.0000, 0.0000)  8 La 3.53, 4 Sb 3.56
La (0.0000, 0.0000, 0.5000)  4 Pb 3.56, 8 La 3.59
La (0.0000, 0.5000, 0.2458)  8 La 3.53-3.59, 2 Sb 3.53, 2 Pb 3.59
La (0.0000, 0.5000, 0.7542)  8 La 3.53-3.59, 2 Sb 3.53, 2 Pb 3.59
La (0.5000, 0.0000, 0.2458)  8 La 3.53-3.59, 2 Sb 3.53, 2 Pb 3.59
La (0.5000, 0.0000, 0.7542)  8 La 3.53-3.59, 2 Sb 3.53, 2 Pb 3.59
Sb (0.5000, 0.5000, 0.0000)  12 La 3.53-3.56
Pb (0.5000, 0.5000, 0.5000)  12 La 3.56-3.59

Properties
Space group: P4/mmm
Formation energy (no corrections) (meV per atom): -511

=====

[3]
# Nd4MgIn3

A relaxed Nd4MgIn3 crystal (GGA-PBE, Alexandria).

a b c (Å): 8.7653 8.7653 8.7653
angles (deg): 143.83 143.83 52.08
Closest atoms and distances in Å follow each position.
Element x y z (fractional)
Nd (0.1250, 0.6250, 0.5000)  6 In 3.33-3.38, 2 Mg 3.36
Nd (0.3750, 0.8750, 0.5000)  6 In 3.33-3.38, 2 Mg 3.36
Nd (0.6250, 0.1250, 0.5000)  6 In 3.33-3.38, 2 Mg 3.36
Nd (0.8750, 0.3750, 0.5000)  6 In 3.33-3.38, 2 Mg 3.36
Mg (0.0000, 0.0000, 0.0000)  8 Nd 3.36
In (0.2472, 0.2472, 0.0000)  8 Nd 3.33-3.38
In (0.5000, 0.5000, 0.0000)  8 Nd 3.36
In (0.7528, 0.7528, 0.0000)  8 Nd 3.33-3.38

Properties
Space group: I4/mmm
ΔH_f (0 K) (eV per atom): -0.409

=====

[4]
# BaRe2RhO8

A relaxed BaRe2RhO8 crystal (GGA-PBE, Alexandria).

a b c (Å): 5.4071 5.4071 7.6347
angles (deg): 95.22 95.22 71.27
Closest atoms and distances in Å follow each position.
Element x y z (fractional)
Ba (0.0000, 0.0000, 0.0000)  6 O 2.73-2.76
Re (0.3808, 0.3808, 0.7197)  4 O 1.78-1.80
Re (0.6192, 0.6192, 0.2803)  4 O 1.78-1.80
Rh (0.0000, 0.0000, 0.5000)  6 O 2.07-2.29
O (0.2369, 0.2369, 0.5354)  1 Re 1.78
O (0.2495, 0.7300, 0.7077)  1 Re 1.80
O (0.2700, 0.7505, 0.2923)  1 Re 1.80
O (0.2962, 0.2962, 0.9231)  1 Re 1.79
O (0.7038, 0.7038, 0.0769)  1 Re 1.79
O (0.7300, 0.2495, 0.7077)  1 Re 1.80
O (0.7505, 0.2700, 0.2923)  1 Re 1.80
O (0.7631, 0.7631, 0.4646)  1 Re 1.78

Properties
Space group: C2/m
Formation energy (no corrections) (meV per atom): -1564

=====

[5]
# LiTlHg

A relaxed LiTlHg crystal (GGA-PBE, Alexandria).

a b c (Å): 4.8861 4.8861 3.4041
angles (deg): 90.00 90.00 120.00
Closest atoms and distances in Å follow each position.
Element x y z (fractional)
Li (0.0000, 0.0000, 0.0000)  3 Hg 2.92, 3 Tl 3.16
Tl (0.6667, 0.3333, 0.4168)  3 Hg 3.07, 3 Li 3.16, 2 Tl 3.40
Hg (0.3333, 0.6667, 0.7742)  3 Li 2.92, 3 Tl 3.07

Properties
Space group: P3m1
ΔH_f (0 K) (eV per atom): -0.151
E above lowest polymorph (eV per atom): 0.036

=====

[6]
# SrLiLa

A relaxed SrLiLa crystal (GGA-PBE, Alexandria).

a b c (Å): 7.6362 7.6362 7.6362
angles (deg): 150.09 150.09 42.81
Closest atoms and distances in Å follow each position.
Element x y z (fractional)
Sr (0.0000, 0.0000, 0.0000)  4 Li 3.53, 4 Sr 3.94
Li (0.6525, 0.6525, 0.0000)  4 La 3.41, 4 Sr 3.53
La (0.2912, 0.2912, 0.0000)  4 Li 3.41

Properties
Space group: I4mm
ΔH_f (0 K) (eV per atom): 0.143
E above lowest polymorph (eV per atom): 0.082

=====

[7]
# HgSbBr

A relaxed HgSbBr crystal (GGA-PBE, Alexandria).

a b c (Å): 7.7260 7.7223 8.1385
angles (deg): 90.00 106.09 90.00
Closest atoms and distances in Å follow each position.
Element x y z (fractional)
Hg (0.0143, 0.0000, 0.1913)  2 Sb 2.78-2.80
Hg (0.1855, 0.5041, 0.3557)  1 Br 2.67, 1 Sb 2.74
Hg (0.8145, 0.0041, 0.6443)  1 Br 2.67, 1 Sb 2.74
Hg (0.9857, 0.5000, 0.8087)  2 Sb 2.78-2.80
Sb (0.1970, 0.7967, 0.8686)  1 Br 2.64, 1 Hg 2.78, 1 Sb 2.85
Sb (0.3185, 0.7897, 0.2327)  2 Hg 2.74-2.80, 1 Sb 2.85
Sb (0.6815, 0.2897, 0.7673)  2 Hg 2.74-2.80, 1 Sb 2.85
Sb (0.8030, 0.2967, 0.1314)  1 Br 2.64, 1 Hg 2.78, 1 Sb 2.85
Br (0.1598, 0.2566, 0.5767)  1 Hg 2.67
Br (0.4853, 0.6887, 0.7847)  1 Sb 2.64
Br (0.5147, 0.1887, 0.2153)  1 Sb 2.64
Br (0.8402, 0.7566, 0.4233)  1 Hg 2.67

Properties
Space group: P2_1
Formation energy (no corrections) (meV per atom): -190
E above lowest polymorph (eV per atom): 0.002

=====

[8]
# AlCoAg2

A relaxed AlCoAg2 crystal (GGA-PBE, Alexandria).

a b c (Å): 5.1534 5.1534 4.5278
angles (deg): 115.04 115.04 34.31
Closest atoms and distances in Å follow each position.
Element x y z (fractional)
Al (0.0000, 0.0000, 0.0000)  2 Co 2.41
Co (0.2884, 0.2884, 0.7823)  2 Al 2.41
Ag (0.5290, 0.5290, 0.5287)  4 Al 2.74, 3 Co 2.75-3.06, 6 Ag 2.87-3.04
Ag (0.7532, 0.7532, 0.2483)  2 Al 2.70, 4 Co 2.74, 4 Ag 2.87-3.02

Properties
Space group: Cm
ΔH_f (0 K) (eV per atom): 0.108

=====

[9]
# ZrFeSiRu

A relaxed ZrFeSiRu crystal (GGA-PBE, Alexandria).

a b c (Å): 4.3141 4.3141 4.3141
angles (deg): 60.00 60.00 60.00
Closest atoms and distances in Å follow each position.
Element x y z (fractional)
Zr (0.0000, 0.0000, 0.0000)  4 Ru 2.64, 4 Fe 2.64
Fe (0.2500, 0.2500, 0.2500)  4 Zr 2.64, 4 Si 2.64
Si (0.5000, 0.5000, 0.5000)  4 Ru 2.64, 4 Fe 2.64
Ru (0.7500, 0.7500, 0.7500)  4 Zr 2.64, 4 Si 2.64

Properties
Space group: F-43m
Formation energy (no corrections) (meV per atom): -541

=====

[10]
# LiTcPt

A relaxed LiTcPt crystal (GGA-PBE, Alexandria).

a b c (Å): 5.7262 5.7262 5.7262
angles (deg): 151.80 151.80 40.30
Closest atoms and distances in Å follow each position.
Element x y z (fractional)
Li (0.0000, 0.0000, 0.0000)  4 Pt 2.59, 4 Tc 2.72, 4 Li 2.79
Tc (0.3257, 0.3257, 0.0000)  4 Pt 2.69, 4 Li 2.72, 4 Tc 2.79
Pt (0.6558, 0.6558, 0.0000)  4 Li 2.59, 4 Tc 2.69, 4 Pt 2.79

Properties
Space group: I4mm
ΔH_f (0 K) (eV per atom): 0.002
E above lowest polymorph (eV per atom): 0.242

=====

[11]
# Li3Mg3Ag2

A relaxed Li3Mg3Ag2 crystal (GGA-PBE, Alexandria).

a b c (Å): 5.2951 5.2951 5.2951
angles (deg): 89.05 89.05 89.05
Closest atoms and distances in Å follow each position.
Element x y z (fractional)
Li (0.0000, 0.2459, 0.7541)  2 Mg 2.65, 2 Ag 2.95
Li (0.2459, 0.7541, 0.0000)  2 Mg 2.65, 2 Ag 2.95
Li (0.7541, 0.0000, 0.2459)  2 Mg 2.65, 2 Ag 2.95
Mg (0.2433, 0.7567, 0.5000)  2 Li 2.65, 2 Ag 2.92
Mg (0.5000, 0.2433, 0.7567)  2 Li 2.65, 2 Ag 2.92
Mg (0.7567, 0.5000, 0.2433)  2 Li 2.65, 2 Ag 2.92
Ag (0.2533, 0.2533, 0.2533)  6 Mg 2.92-2.99, 6 Li 2.95-2.99
Ag (0.7467, 0.7467, 0.7467)  6 Mg 2.92-2.99, 6 Li 2.95-2.99

Properties
Space group: R32
ΔH_f (0 K) (eV per atom): -0.127
E above lowest polymorph (eV per atom): 0.015

=====

[12]
# Sb6Pd2Rh

A relaxed Sb6Pd2Rh crystal (GGA-PBE, Alexandria).

a b c (Å): 6.8616 6.8616 5.2918
angles (deg): 90.00 90.00 120.00
Closest atoms and distances in Å follow each position.
Element x y z (fractional)
Sb (0.0000, 0.3532, 0.2832)  2 Pd 2.68, 1 Rh 2.68
Sb (0.0000, 0.6468, 0.7168)  2 Pd 2.68, 1 Rh 2.68
Sb (0.3532, 0.0000, 0.2832)  2 Pd 2.68, 1 Rh 2.68
Sb (0.3532, 0.3532, 0.7168)  2 Pd 2.68, 1 Rh 2.68
Sb (0.6468, 0.0000, 0.7168)  2 Pd 2.68, 1 Rh 2.68
Sb (0.6468, 0.6468, 0.2832)  2 Pd 2.68, 1 Rh 2.68
Pd (0.3333, 0.6667, 0.0000)  6 Sb 2.68
Pd (0.6667, 0.3333, 0.0000)  6 Sb 2.68
Rh (0.0000, 0.0000, 0.5000)  6 Sb 2.68

Properties
Space group: P-31m
Formation energy (no corrections) (meV per atom): -318